Record 1
Material: ZnAs
Method: DFT, PBE
State: optimized geometry

The structure in POSCAR format:
```
ZnAs
1.0
0.0000 4.6749 7.2715
3.0952 0.0000 7.2715
3.0952 4.6749 0.0000
Zn As
4 4
direct
0.0914 0.6586 0.0914
0.3414 0.9086 0.3414
0.6586 0.0914 0.6586
0.9086 0.3414 0.9086
0.2481 0.2481 0.5019
0.4981 0.4981 0.7519
0.5019 0.5019 0.2481
0.7519 0.7519 0.4981
```

Values from the calculation:
**Formation enthalpy at 0 K**: 0.1345 eV per atom
**Magnetic moment**: 0.00 μB per cell
**Calculated volume**: 210.4 Å³/cell
**SG**: Fddd
**Calculated density**: 4429 kg/m3

Record 2
Material: ZnAs3
Method: DFT, PBE
State: optimized geometry

The structure in POSCAR format:
```
ZnAs3
1.0
9.3451 0.0000 0.0000
-4.6726 8.0931 0.0000
0.0000 0.0000 2.9489
Zn As
3 9
direct
0.0000 0.0000 0.0000
0.3333 0.6667 0.6667
0.6667 0.3333 0.3333
0.0000 0.5000 0.0000
0.1667 0.3333 0.3333
0.1667 0.8333 0.3333
0.3333 0.1667 0.6667
0.5000 0.0000 0.0000
0.5000 0.5000 0.0000
0.6667 0.8333 0.3333
0.8333 0.1667 0.6667
0.8333 0.6667 0.6667
```

Values from the calculation:
**Formation enthalpy at 0 K**: 0.3527 eV per atom
**Energy above the lowest structure with this stoichiometry**: 1.21 eV/f.u.
**Magnetic moment**: 0.00 μB per cell
**Calculated volume**: 223.0 Å³/cell
**SG**: R-3m
**Calculated density**: 6481 kg/m3

Record 3
Material: ZnAs
Method: DFT, PBE
State: optimized geometry

The structure in POSCAR format:
```
ZnAs
1.0
5.7465 0.0000 0.0000
0.0000 7.3313 0.0000
0.0000 0.0000 7.6491
Zn As
8 8
direct
0.0402 0.1163 0.1338
0.0402 0.3837 0.6338
0.4598 0.6163 0.1338
0.4598 0.8837 0.6338
0.5402 0.1163 0.3662
0.5402 0.3837 0.8662
0.9598 0.6163 0.3662
0.9598 0.8837 0.8662
0.1367 0.5743 0.8985
0.1367 0.9257 0.3985
0.3633 0.0743 0.8985
0.3633 0.4257 0.3985
0.6367 0.5743 0.6015
0.6367 0.9257 0.1015
0.8633 0.0743 0.6015
0.8633 0.4257 0.1015
```

Values from the calculation:
**Formation enthalpy at 0 K**: -0.1306 eV per atom
**Magnetic moment**: 0.00 μB per cell
**Calculated volume**: 322.3 Å³/cell
**SG**: Pbca
**Calculated density**: 5785 kg/m3

Record 4
Material: Zn3As
Method: DFT, PBE
State: optimized geometry

The structure in POSCAR format:
```
Zn3As
1.0
3.9768 0.0000 0.0000
0.0000 7.4272 0.0000
0.0000 0.0000 4.8173
Zn As
6 2
direct
0.2500 0.0163 0.1937
0.2500 0.2500 0.7996
0.2500 0.4837 0.1937
0.7500 0.5163 0.8063
0.7500 0.7500 0.2004
0.7500 0.9837 0.8063
0.2500 0.7500 0.5449
0.7500 0.2500 0.4551
```

Values from the calculation:
**Formation enthalpy at 0 K**: 0.0296 eV per atom
**Magnetic moment**: 0.00 μB per cell
**Calculated volume**: 142.3 Å³/cell
**SG**: Pmmn
**Calculated density**: 6329 kg/m3